{
  "formula": "ZrZn3",
  "functional": "GGA-PBEsol",
  "state": "relaxed",
  "spacegroup": "P6_3/mmc, No. 194",
  "cell": [[4.302, 0.000, 0.000], [0.000, 5.797, 0.000], [0.000, -2.898, 5.020]],
  "species": ["Zn", "Zn", "Zn", "Zn", "Zn", "Zn", "Zr", "Zr"],
  "frac_coords": [[0.750, 0.157, 0.314], [0.250, 0.843, 0.686], [0.750, 0.157, 0.843], [0.250, 0.843, 0.157], [0.750, 0.686, 0.843], [0.250, 0.314, 0.157], [0.750, 0.667, 0.333], [0.250, 0.333, 0.667]]
}



{
  "formula": "Zr5Zn3",
  "functional": "GGA-PBEsol",
  "state": "relaxed",
  "spacegroup": "P1, No. 1",
  "cell": [[5.717, 0.105, -0.034], [-0.696, 5.546, 0.000], [-2.804, -0.612, 4.820]],
  "species": ["Zn", "Zn", "Zn", "Zr", "Zr", "Zr", "Zr", "Zr"],
  "frac_coords": [[0.056, 0.948, 0.974], [0.428, 0.734, 0.994], [0.104, 0.300, 0.624], [0.641, 0.564, 0.709], [0.528, 0.031, 0.518], [0.971, 0.773, 0.434], [0.152, 0.429, 0.149], [0.621, 0.221, 0.099]]
}



{
  "formula": "ZrZn3",
  "functional": "GGA-PBEsol",
  "state": "relaxed",
  "spacegroup": "Pmmn, No. 59",
  "cell": [[-0.258, 3.821, -1.402], [-1.892, -1.888, -4.796], [-5.304, 0.358, 1.951]],
  "species": ["Zn", "Zn", "Zn", "Zn", "Zn", "Zn", "Zr", "Zr"],
  "frac_coords": [[0.500, 0.000, 0.746], [0.000, 0.253, 0.861], [0.500, 0.247, 0.139], [0.000, 0.500, 0.254], [0.000, 0.747, 0.861], [0.500, 0.753, 0.139], [0.000, 0.000, 0.402], [0.500, 0.500, 0.598]]
}



{
  "formula": "ZrZn3",
  "functional": "GGA-PBEsol",
  "state": "relaxed",
  "spacegroup": "R-3m, No. 166",
  "cell": [[5.658, 0.000, 0.000], [2.829, 4.900, 0.000], [2.829, 1.633, 4.620]],
  "species": ["Zn", "Zn", "Zn", "Zn", "Zn", "Zn", "Zr", "Zr"],
  "frac_coords": [[0.245, 0.750, 0.255], [0.245, 0.750, 0.750], [0.755, 0.745, 0.250], [0.245, 0.255, 0.750], [0.755, 0.250, 0.745], [0.755, 0.250, 0.250], [0.739, 0.754, 0.754], [0.261, 0.246, 0.246]]
}



no.,V (Å³/cell),E_form (kcal/mol of atoms)
1,125,-7.1
2,153,-3.0
3,127,-6.5
4,128,-6.2